Entry 1:
{"formula": "Zn2CdAg6", "functional": "PBE", "state": "optimized geometry", "e_form_ev_per_atom": 0.000, "volume_a3_per_cell": 317.1, "crystal_system": "monoclinic", "total_energy_ry_per_atom": -0.16802, "lattice": [[-4.039, -1.824, 2.115], [3.847, -4.660, 5.685], [0.490, 4.352, 7.046]], "species": ["Ag", "Ag", "Ag", "Ag", "Ag", "Ag", "Ag", "Ag", "Ag", "Ag", "Ag", "Ag", "Cd", "Cd", "Zn", "Zn", "Zn", "Zn"], "fractional_positions": [[0.472, 0.677, 0.438], [0.696, 0.251, 0.987], [0.804, 0.013, 0.749], [0.851, 0.648, 0.893], [0.351, 0.893, 0.648], [0.196, 0.987, 0.251], [0.304, 0.749, 0.013], [0.028, 0.562, 0.323], [0.649, 0.107, 0.352], [0.149, 0.352, 0.107], [0.528, 0.323, 0.562], [0.972, 0.438, 0.677], [0.750, 0.880, 0.120], [0.250, 0.120, 0.880], [0.592, 0.463, 0.210], [0.408, 0.537, 0.790], [0.092, 0.210, 0.463], [0.908, 0.790, 0.537]]}

=====

Entry 2:
{"formula": "Pu3Pd3Pt", "functional": "PBE", "state": "optimized geometry", "e_form_ev_per_atom": -0.510, "volume_a3_per_cell": 282.3, "crystal_system": "hexagonal", "total_energy_ry_per_atom": -0.71594, "lattice": [[4.807, 0.000, 0.000], [0.000, 8.236, -0.039], [0.000, -4.089, 7.150]], "species": ["Pu", "Pu", "Pu", "Pu", "Pu", "Pu", "Pd", "Pd", "Pd", "Pd", "Pd", "Pd", "Pt", "Pt"], "fractional_positions": [[0.250, 0.084, 0.444], [0.750, 0.444, 0.360], [0.250, 0.360, 0.916], [0.750, 0.916, 0.556], [0.250, 0.556, 0.640], [0.750, 0.640, 0.084], [0.250, 0.824, 0.043], [0.250, 0.220, 0.176], [0.750, 0.780, 0.824], [0.250, 0.957, 0.780], [0.750, 0.176, 0.957], [0.750, 0.043, 0.220], [0.750, 0.333, 0.667], [0.250, 0.667, 0.333]]}

=====

Entry 3:
{"formula": "Sr12Ga3Te5", "functional": "PBE", "state": "optimized geometry", "volume_a3_per_cell": 3672.3, "e_form_raw_ev_per_atom": -0.750, "crystal_system": "cubic", "total_energy_ry_per_atom": -0.22040, "lattice": [[16.834, 0.000, 0.000], [-5.611, 15.871, 0.000], [-5.611, -7.936, 13.745]], "species": ["Sr", "Sr", "Sr", "Sr", "Sr", "Sr", "Sr", "Sr", "Sr", "Sr", "Sr", "Sr", "Sr", "Sr", "Sr", "Sr", "Sr", "Sr", "Sr", "Sr", "Sr", "Sr", "Sr", "Sr", "Sr", "Sr", "Sr", "Sr", "Sr", "Sr", "Sr", "Sr", "Sr", "Sr", "Sr", "Sr", "Sr", "Sr", "Sr", "Sr", "Sr", "Sr", "Sr", "Sr", "Sr", "Sr", "Sr", "Sr", "Ga", "Ga", "Ga", "Ga", "Ga", "Ga", "Ga", "Ga", "Ga", "Ga", "Ga", "Ga", "Te", "Te", "Te", "Te", "Te", "Te", "Te", "Te", "Te", "Te", "Te", "Te", "Te", "Te", "Te", "Te", "Te", "Te", "Te", "Te"], "fractional_positions": [[0.171, 0.082, 0.944], [0.638, 0.056, 0.227], [0.829, 0.911, 0.273], [0.727, 0.138, 0.056], [0.829, 0.918, 0.056], [0.638, 0.582, 0.911], [0.773, 0.329, 0.911], [0.944, 0.582, 0.171], [0.944, 0.362, 0.273], [0.329, 0.773, 0.411], [0.082, 0.171, 0.444], [0.918, 0.089, 0.862], [0.418, 0.362, 0.589], [0.582, 0.638, 0.411], [0.444, 0.671, 0.082], [0.273, 0.862, 0.944], [0.556, 0.227, 0.138], [0.411, 0.273, 0.329], [0.556, 0.329, 0.918], [0.227, 0.556, 0.638], [0.727, 0.589, 0.171], [0.056, 0.638, 0.727], [0.589, 0.727, 0.671], [0.773, 0.444, 0.362], [0.911, 0.082, 0.638], [0.138, 0.411, 0.082], [0.671, 0.444, 0.582], [0.589, 0.862, 0.418], [0.918, 0.829, 0.556], [0.362, 0.418, 0.089], [0.056, 0.418, 0.829], [0.329, 0.556, 0.418], [0.362, 0.944, 0.773], [0.089, 0.171, 0.227], [0.444, 0.773, 0.862], [0.911, 0.829, 0.773], [0.582, 0.944, 0.671], [0.671, 0.227, 0.589], [0.411, 0.138, 0.582], [0.082, 0.911, 0.138], [0.138, 0.727, 0.556], [0.171, 0.089, 0.727], [0.418, 0.056, 0.329], [0.862, 0.589, 0.918], [0.227, 0.671, 0.089], [0.089, 0.918, 0.362], [0.862, 0.273, 0.444], [0.273, 0.411, 0.829], [0.250, 0.125, 0.375], [0.250, 0.625, 0.875], [0.875, 0.125, 0.250], [0.875, 0.750, 0.125], [0.750, 0.875, 0.625], [0.625, 0.375, 0.750], [0.625, 0.250, 0.375], [0.375, 0.625, 0.250], [0.125, 0.250, 0.875], [0.750, 0.375, 0.125], [0.375, 0.750, 0.625], [0.125, 0.875, 0.750], [0.875, 0.625, 0.750], [0.375, 0.125, 0.750], [0.500, 0.000, 0.000], [0.500, 0.500, 0.500], [0.125, 0.750, 0.375], [0.250, 0.875, 0.125], [0.500, 0.000, 0.500], [0.000, 0.500, 0.500], [0.750, 0.125, 0.875], [0.625, 0.750, 0.875], [0.125, 0.375, 0.250], [0.875, 0.250, 0.625], [0.000, 0.500, 0.000], [0.500, 0.500, 0.000], [0.000, 0.000, 0.500], [0.250, 0.375, 0.625], [0.625, 0.875, 0.250], [0.750, 0.625, 0.375], [0.000, 0.000, 0.000], [0.375, 0.250, 0.125]]}